No. 1
RbNiGe | PBE | relaxed

Values from the calculation:
- size of the total moment (μB/atom) = 0.000
- DFT total energy (eV/atom) = -2.952

a = 4.7555 Å, b = 4.7555 Å, c = 4.7555 Å
α = 60.00°, β = 60.00°, γ = 60.00°
Positions (direct):
Ge 0.2500 0.2500 0.2500
Ni 0.0000 0.0000 0.0000
Rb 0.7500 0.7500 0.7500

No. 2
RbNiGe | PBE | relaxed

Values from the calculation:
- size of the total moment (μB/atom) = 0.011
- DFT total energy (eV/atom) = -2.195

a = 5.1310 Å, b = 5.1310 Å, c = 5.1310 Å
α = 60.00°, β = 60.00°, γ = 60.00°
Positions (direct):
Ge 0.2500 0.2500 0.2500
Ni 0.7500 0.7500 0.7500
Rb 0.0000 0.0000 0.0000

No. 3
ReNiGe2 | PBE | relaxed

Values from the calculation:
- size of the total moment (μB/atom) = 0.019
- DFT total energy (eV/atom) = -6.289

a = 4.3597 Å, b = 4.3597 Å, c = 4.3597 Å
α = 60.00°, β = 60.00°, γ = 60.00°
Positions (direct):
Ge 0.0000 0.0000 0.0000
Ge 0.2500 0.2500 0.2500
Ni 0.7500 0.7500 0.7500
Re 0.5000 0.5000 0.5000